Below is a relaxed structure of Ti2VSn, with properties calculated at the PBE level.

Unit cell a=4.311 b=4.311 c=3.667 alpha=90.00 beta=90.00 gamma=90.00
Space group P4/mmm (No. 123)
Asymmetric unit:
Ti: 0.000 0.500 0.000
V: 0.000 0.000 0.500
Sn: 0.500 0.500 0.500

Values from the calculation:
* ρ: 6467 kg/m3
* crystal system: tetragonal
* calculated formation energy: -17.01 kJ/mol of atoms
* magnetization: 0.5 μB per formula unit